The following is a PBE calculation of an optimized crystal structure of Be4FeBr, from Alexandria via LeMat-Bulk.

a b c (Å): 6.335 6.335 6.335
angles (deg): 90.00 90.00 90.00
Space group F-43m (No. 216)
Symmetry-distinct sites (fractional):
Be1 0.122 0.122 0.378
Fe1 0.250 0.250 0.750
Br1 0.000 0.000 0.000


The following is a PBE calculation of an optimized crystal structure of BeFeBr2, from Alexandria via LeMat-Bulk.

a b c (Å): 6.382 3.461 7.472
angles (deg): 90.00 91.26 90.00
Space group Cm (No. 8)
Symmetry-distinct sites (fractional):
Be1 0.000 0.000 0.000
Fe1 0.308 0.000 0.144
Br1 0.172 0.500 0.347
Br2 0.387 0.000 0.825

## Properties
Energy relative to the lowest polymorph listed for this composition in meV/atom: 19


The following is a PBE calculation of an optimized crystal structure of BeFeBr2, from Alexandria via LeMat-Bulk.

a b c (Å): 6.785 6.785 6.785
angles (deg): 90.00 90.00 90.00
Space group F-43m (No. 216)
Symmetry-distinct sites (fractional):
Be1 0.000 0.000 0.000
Fe1 0.250 0.250 0.750
Br1 0.000 0.000 0.500
Br2 0.250 0.250 0.250

## Properties
Energy relative to the lowest polymorph listed for this composition in meV/atom: 1103


no.,total magnetic moment (μB/atom),uncorrected formation energy (eV per atom)
1,0.2035,0.572
2,0.5024,-0.009
3,0.6137,1.075